# 1
This record from Alexandria describes a crystal of KAg2Te2 relaxed with PBEsol. The functional is meta-GGA SCAN.

Cell and atoms, written as POSCAR:
```
KAg2Te2
1.0
-2.684 2.937 -1.891
-3.346 -2.846 0.330
1.395 2.604 7.194
K Te Ag
1 2 2
Cartesian
0.000 0.000 0.000 K
-1.204 1.969 4.767 Te
-3.431 0.725 0.866 Te
-2.483 -0.099 3.372 Ag
-2.152 2.793 2.261 Ag
```

Properties
space-group type: I4/mmm
spin magnetization: 0.0 μB per formula unit
VASP energy: -29.57 eV/atom
D(E_F): 2.8 states/eV/cell


# 2
This record from Alexandria describes a crystal of ZnRhF6 relaxed with PBEsol. The functional is meta-GGA SCAN.

Cell and atoms, written as POSCAR:
```
ZnRhF6
1.0
-1.664 4.522 -1.217
-4.203 1.726 2.013
0.420 3.878 3.686
Zn Rh F
1 1 6
Cartesian
-2.723 5.063 2.241 Zn
0.000 0.000 0.000 Rh
-2.410 5.451 0.286 F
-2.865 3.090 1.841 F
-0.734 4.852 2.503 F
-2.581 7.035 2.640 F
-3.037 4.675 4.196 F
-4.712 5.274 1.978 F
```

Properties
space-group type: R-3
spin magnetization: 1.0 μB per formula unit
VASP energy: -10.56 eV/atom
D(E_F): 0.7 states/eV/cell


# 3
This record from Alexandria describes a crystal of CaSc2Si relaxed with PBEsol. The functional is meta-GGA SCAN.

Cell and atoms, written as POSCAR:
```
CaSc2Si
1.0
3.390 0.000 0.000
0.000 5.109 0.000
-1.695 -2.555 5.354
Ca Sc Si
1 2 1
Cartesian
0.000 2.555 0.000 Ca
1.695 2.555 3.186 Sc
0.000 0.000 2.168 Sc
1.695 0.000 0.000 Si
```

Properties
space-group type: Immm
spin magnetization: 0.0 μB per formula unit
VASP energy: -12.28 eV/atom
D(E_F): 3.8 states/eV/cell